VASP calculation (GGA-PBE) on a relaxed Mg2ZrRh2 crystal.

ΔE_f: -0.31 eV per atom
DOS at the Fermi energy: 3.13 states/eV/cell
crystal system: tetragonal
energy above the most stable polymorph in this dataset: 259 meV/atom
total magnetic moment: 0.00 μB/cell

a = 3.7215 Å, b = 3.7215 Å, c = 7.0088 Å
α = 74.60°, β = 74.60°, γ = 90.00°
With the nearest neighbours (Å) after each atom.
Atoms (fractional coordinates):
Mg: 0.7500 0.2500 0.5000  4 Mg 2.63, 4 Rh 2.68
Mg: 0.2500 0.7500 0.5000  4 Mg 2.63, 4 Rh 2.68
Rh: 0.3985 0.3985 0.2030  1 Rh 2.64, 4 Mg 2.68, 4 Zr 2.94
Rh: 0.6015 0.6015 0.7970  1 Rh 2.64, 4 Mg 2.68, 4 Zr 2.94
Zr: 0.0000 0.0000 0.0000  8 Rh 2.94

VASP calculation (GGA-PBE) on a relaxed OsRuPb3 crystal.

ΔE_f: 1.27 eV per atom
DOS at the Fermi energy: 9.81 states/eV/cell
crystal system: cubic
energy above the most stable polymorph in this dataset: 0 meV/atom
total magnetic moment: 1.97 μB/cell

a = 5.2426 Å, b = 5.2426 Å, c = 5.2426 Å
α = 90.00°, β = 90.00°, γ = 90.00°
With the nearest neighbours (Å) after each atom.
Atoms (fractional coordinates):
Pb: 0.0000 0.0000 0.5000  2 Os 2.62
Pb: 0.0000 0.5000 0.0000  2 Os 2.62
Pb: 0.5000 0.0000 0.0000  2 Os 2.62
Ru: 0.5000 0.5000 0.5000  12 Pb 3.71
Os: 0.0000 0.0000 0.0000  6 Pb 2.62

VASP calculation (GGA-PBE) on a relaxed Ho5Pt3 crystal.

ΔE_f: -1.06 eV per atom
DOS at the Fermi energy: 32.43 states/eV/cell
crystal system: tetragonal
energy above the most stable polymorph in this dataset: 0 meV/atom
total magnetic moment: 0.00 μB/cell

a = 6.4548 Å, b = 10.9764 Å, c = 10.9764 Å
α = 90.00°, β = 90.00°, γ = 90.00°
With the nearest neighbours (Å) after each atom.
Atoms (fractional coordinates):
Ho: 0.8779 0.4107 0.2070  5 Pt 2.92-3.18
Ho: 0.0000 0.5000 0.5000  4 Pt 2.88, 2 Ho 3.23
Ho: 0.8779 0.2930 0.9107  5 Pt 2.92-3.18
Ho: 0.6221 0.2070 0.4107  5 Pt 2.92-3.18
Ho: 0.3779 0.4107 0.7930  5 Pt 2.92-3.18
Ho: 0.6221 0.0893 0.7070  5 Pt 2.92-3.18
Ho: 0.1221 0.7930 0.4107  5 Pt 2.92-3.18
Ho: 0.1221 0.9107 0.7070  5 Pt 2.92-3.18
Ho: 0.6221 0.7930 0.5893  5 Pt 2.92-3.18
Ho: 0.5000 0.0000 0.0000  4 Pt 2.88, 2 Ho 3.23
Ho: 0.6221 0.9107 0.2930  5 Pt 2.92-3.18
Ho: 0.1221 0.0893 0.2930  5 Pt 2.92-3.18
Ho: 0.3779 0.2930 0.0893  5 Pt 2.92-3.18
Ho: 0.0000 0.0000 0.0000  4 Pt 2.88, 2 Ho 3.23
Ho: 0.1221 0.2070 0.5893  5 Pt 2.92-3.18
Ho: 0.8779 0.5893 0.7930  5 Pt 2.92-3.18
Ho: 0.3779 0.7070 0.9107  5 Pt 2.92-3.18
Ho: 0.8779 0.7070 0.0893  5 Pt 2.92-3.18
Ho: 0.3779 0.5893 0.2070  5 Pt 2.92-3.18
Ho: 0.5000 0.5000 0.5000  4 Pt 2.88, 2 Ho 3.23
Pt: 0.7500 0.6538 0.3462  8 Ho 2.88-3.18
Pt: 0.8821 0.0000 0.5000  8 Ho 2.92-2.99, 2 Pt 3.23
Pt: 0.3821 0.0000 0.5000  8 Ho 2.92-2.99, 2 Pt 3.23
Pt: 0.7500 0.8462 0.8462  8 Ho 2.88-3.18
Pt: 0.1179 0.5000 0.0000  8 Ho 2.92-2.99, 2 Pt 3.23
Pt: 0.6179 0.5000 0.0000  8 Ho 2.92-2.99, 2 Pt 3.23
Pt: 0.7500 0.3462 0.6538  8 Ho 2.88-3.18
Pt: 0.2500 0.8462 0.1538  8 Ho 2.88-3.18
Pt: 0.2500 0.1538 0.8462  8 Ho 2.88-3.18
Pt: 0.2500 0.6538 0.6538  8 Ho 2.88-3.18
Pt: 0.2500 0.3462 0.3462  8 Ho 2.88-3.18
Pt: 0.7500 0.1538 0.1538  8 Ho 2.88-3.18